NaAgAsBr2 | PBE | relaxed

Structure (extended XYZ):
```
5
Lattice="5.4824 0.0000 0.0000 0.0000 5.4824 0.0000 0.0000 0.0000 5.5401" Properties=species:S:1:pos:R:3 pbc="T T T"
Na 0.0000 0.0000 0.0000
Ag 2.7412 2.7412 2.7700
As 0.0000 0.0000 2.7700
Br 0.0000 2.7412 0.0000
Br 2.7412 0.0000 0.0000
```

Output
**Formation energy (no corrections)**: 277.5 meV per atom
**E_tot**: -2.16 eV per atom
**ΔE to the lowest computed polymorph**: 204 kJ/mol of formula units

---

TbCe2Sc8 | PBE | relaxed

Structure (extended XYZ):
```
11
Lattice="4.2318 -7.4894 0.0000 4.2318 7.4894 0.0000 -2.9419 0.0000 4.6254" Properties=species:S:1:pos:R:3 pbc="T T T"
Tb 0.0000 0.0000 0.0000
Ce 2.7608 2.9420 2.3127
Ce 2.7608 -2.9420 2.3127
Sc -0.1812 1.7254 3.1320
Sc 4.2318 4.3259 0.0000
Sc -0.1812 -1.7254 3.1320
Sc 3.0497 0.0000 0.9545
Sc 2.4719 0.0000 3.6709
Sc 5.7028 1.7254 1.4934
Sc 4.2318 -4.3259 0.0000
Sc 5.7028 -1.7254 1.4934
```

Output
**Formation energy from the elements**: 0.2005 eV per atom
**E_tot**: -5.90 eV per atom

---

InAgAs2 | PBE | relaxed

Structure (extended XYZ):
```
4
Lattice="2.8599 -3.8765 0.0000 2.8599 3.8765 0.0000 0.0000 0.0000 3.8178" Properties=species:S:1:pos:R:3 pbc="T T T"
In 0.0000 0.0000 0.0000
Ag 2.8599 0.0000 0.0000
As 1.4300 1.9383 1.9089
As 1.4300 -1.9383 1.9089
```

Output
**Formation energy from the elements**: 0.2248 eV per atom
**E_tot**: -3.50 eV per atom

---

MnGePd | PBE | relaxed

Structure (extended XYZ):
```
3
Lattice="2.9328 0.0000 0.0000 -1.4664 2.5399 0.0000 0.0000 0.0000 6.1947" Properties=species:S:1:pos:R:3 pbc="T T T"
Mn 0.0000 0.0000 0.0000
Ge 1.4664 0.8466 4.1577
Pd 0.0000 1.6933 2.1209
```

Output
**Formation energy from the elements**: -0.0288 eV per atom
**E_tot**: -6.36 eV per atom

---

PmHoGa2Pt2 | PBE | relaxed

Structure (extended XYZ):
```
6
Lattice="4.4790 0.0000 0.0000 -2.2395 3.8789 0.0000 0.0000 0.0000 7.0899" Properties=species:S:1:pos:R:3 pbc="T T T"
Pm 0.0000 0.0000 0.0000
Ho 0.0000 0.0000 3.5449
Ga 0.0000 2.5860 1.9038
Ga 2.2395 1.2930 5.1861
Pt 0.0000 2.5860 5.1793
Pt 2.2395 1.2930 1.9106
```

Output
**Formation energy from the elements**: -1.0573 eV per atom
**E_tot**: -5.63 eV per atom

---

BaPrTlI6 | PBE | relaxed

Structure (extended XYZ):
```
18
Lattice="8.5645 0.0000 0.0000 -4.2823 7.4171 0.0000 0.0000 0.0000 14.8415" Properties=species:S:1:pos:R:3 pbc="T T T"
Ba 0.0000 4.9447 3.7104
Ba 4.2823 2.4724 11.1311
Pr 0.0000 4.9447 11.1311
Pr 4.2823 2.4724 3.7104
Tl 0.0000 0.0000 0.0000
Tl 0.0000 0.0000 7.4207
I -1.3407 2.7412 9.3019
I -2.5787 4.8854 12.9603
I 1.3407 2.7412 12.9603
I -1.2380 7.2076 9.3019
I 3.0443 0.2095 1.8812
I 1.7035 2.5317 5.5396
I 2.5787 4.8854 9.3019
I 1.2380 7.2076 12.9603
I 5.5202 0.2095 5.5396
I 2.9415 4.6759 1.8812
I 6.8610 2.5317 1.8812
I 5.6230 4.6759 5.5396
```

Output
**Formation energy (no corrections)**: -1360.5 meV per atom
**E_tot**: -3.40 eV per atom